No. 1
GGA-PBE TiCoC2, optimized geometry; ρ = 4.83 g/cm³; ΔH_f (0 K) = 0.35 eV per atom; SG = No. 122; total magnetic moment = 0.00 μB/f.u.
1.0
-2.172 2.172 4.769
2.172 -2.172 4.769
2.172 2.172 -4.769
Ti Co C
2 2 4
direct
0.000 0.000 0.000
0.750 0.250 0.500
0.250 0.750 0.500
0.500 0.500 0.000
0.172 0.625 0.047
0.375 0.422 0.547
0.578 0.125 0.953
0.875 0.828 0.453

No. 2
GGA-PBE Ti12Co6C, optimized geometry; ρ = 5.29 g/cm³; ΔH_f (0 K) = -0.07 eV per atom; SG = No. 148; total magnetic moment = 0.00 μB/f.u.
1.0
5.090 2.939 3.286
-5.090 2.939 3.286
0.000 -5.878 3.286
Ti Co C
12 6 1
direct
0.012 0.688 0.931
0.069 0.988 0.312
0.180 0.419 0.571
0.312 0.069 0.988
0.419 0.571 0.180
0.429 0.820 0.581
0.571 0.180 0.419
0.581 0.429 0.820
0.688 0.931 0.012
0.820 0.581 0.429
0.931 0.012 0.688
0.988 0.312 0.069
0.130 0.640 0.307
0.307 0.130 0.640
0.360 0.693 0.870
0.640 0.307 0.130
0.693 0.870 0.360
0.870 0.360 0.693
0.000 0.000 0.000

No. 3
GGA-PBE TiCo2C, optimized geometry; ρ = 5.72 g/cm³; ΔH_f (0 K) = 0.35 eV per atom; SG = No. 122; total magnetic moment = 0.00 μB/f.u.
1.0
-2.569 2.569 3.913
2.569 -2.569 3.913
2.569 2.569 -3.913
Ti Co C
2 4 2
direct
0.000 0.000 0.000
0.750 0.250 0.500
0.228 0.625 0.103
0.375 0.478 0.603
0.522 0.125 0.897
0.875 0.772 0.397
0.250 0.750 0.500
0.500 0.500 0.000

No. 4
GGA-PBE Ti7Co2C2, optimized geometry; ρ = 5.25 g/cm³; ΔH_f (0 K) = -0.27 eV per atom; SG = No. 65; total magnetic moment = 0.00 μB/f.u.
1.0
3.212 -4.223 0.000
3.212 4.223 0.000
0.000 0.000 5.557
Ti Co C
7 2 2
direct
0.000 0.000 0.000
0.000 0.500 0.249
0.000 0.500 0.751
0.500 0.000 0.249
0.500 0.000 0.751
0.500 0.500 0.244
0.500 0.500 0.756
0.177 0.177 0.500
0.823 0.823 0.500
0.274 0.726 0.000
0.726 0.274 0.000

No. 5
GGA-PBE Ti2CoC, optimized geometry; ρ = 5.27 g/cm³; ΔH_f (0 K) = 0.09 eV per atom; SG = No. 122; total magnetic moment = 0.00 μB/f.u.
1.0
-2.940 2.940 3.041
2.940 -2.940 3.041
2.940 2.940 -3.041
Ti Co C
4 2 2
direct
0.079 0.125 0.454
0.375 0.921 0.046
0.671 0.625 0.546
0.875 0.329 0.954
0.250 0.750 0.500
0.500 0.500 0.000
0.000 0.000 0.000
0.750 0.250 0.500

No. 6
GGA-PBE TiCoC2, optimized geometry; ρ = 6.19 g/cm³; ΔH_f (0 K) = 0.68 eV per atom; SG = No. 225; total magnetic moment = 0.00 μB/f.u.
1.0
0.000 2.599 2.599
2.599 0.000 2.599
2.599 2.599 0.000
Ti Co C
1 1 2
direct
0.000 0.000 0.000
0.500 0.500 0.500
0.250 0.250 0.250
0.750 0.750 0.750

No. 7
GGA-PBE Ti2TlCoC, optimized geometry; ρ = 8.71 g/cm³; ΔH_f (0 K) = -0.20 eV per atom; SG = No. 123; total magnetic moment = 0.00 μB/f.u.
1.0
4.263 0.000 0.000
0.000 4.263 0.000
0.000 0.000 3.894
Ti Tl Co C
2 1 1 1
direct
0.000 0.500 0.000
0.500 0.000 0.000
0.000 0.000 0.500
0.500 0.500 0.500
0.500 0.500 0.000

No. 8
GGA-PBE TlCo3C, optimized geometry; ρ = 11.26 g/cm³; relative energy among the computed polymorphs = 0.000 eV per atom; ΔH_f (0 K) = 0.23 eV per atom; SG = No. 221; total magnetic moment = 0.00 μB/f.u.
1.0
3.870 0.000 0.000
0.000 3.870 0.000
0.000 0.000 3.870
Tl Co C
1 3 1
direct
0.000 0.000 0.000
0.000 0.500 0.500
0.500 0.000 0.500
0.500 0.500 0.000
0.500 0.500 0.500

No. 9
GGA-PBE TlCo3C, optimized geometry; ρ = 5.90 g/cm³; relative energy among the computed polymorphs = 2.769 eV per atom; ΔH_f (0 K) = 3.00 eV per atom; SG = No. 221; total magnetic moment = 4.56 μB/f.u.
1.0
4.800 0.000 0.000
0.000 4.800 0.000
0.000 0.000 4.800
Tl Co C
1 3 1
direct
0.000 0.000 0.000
0.000 0.000 0.500
0.000 0.500 0.000
0.500 0.000 0.000
0.500 0.500 0.500

No. 10
GGA-PBE TlCo2C, optimized geometry; ρ = 10.77 g/cm³; relative energy among the computed polymorphs = 1.099 eV per atom; ΔH_f (0 K) = 1.58 eV per atom; SG = No. 225; total magnetic moment = 1.76 μB/f.u.
1.0
0.000 2.954 2.954
2.954 0.000 2.954
2.954 2.954 0.000
Tl Co C
1 2 1
direct
0.000 0.000 0.000
0.250 0.250 0.250
0.750 0.750 0.750
0.500 0.500 0.500